1.
{
  "formula": "Zn3AgN",
  "functional": "PBE-GGA",
  "state": "relaxed",
  "polymorph_energy_mev_per_atom": 949,
  "dos_ef_per_ev_cell": 2.074,
  "total_energy_ev_per_atom": -1.7160,
  "spacegroup": "Pm-3m",
  "raw_formation_energy_ev_per_atom": 1.28,
  "cell": [[-3.017, -1.771, 3.519], [0.404, -4.548, -1.943], [3.919, -0.895, 2.909]],
  "species": ["Zn", "Zn", "Zn", "Ag", "N"],
  "frac_coords": [[0.000, 0.500, 0.000], [0.000, 0.000, 0.500], [0.500, 0.000, 0.000], [0.000, 0.000, 0.000], [0.500, 0.500, 0.500]]
}


2.
{
  "formula": "LiLa2Zn4Ga3",
  "functional": "PBE-GGA",
  "state": "relaxed",
  "dos_ef_per_ev_cell": 5.540,
  "total_energy_ev_per_atom": -3.0436,
  "ef_ev_per_atom": -0.45,
  "spacegroup": "P-4m2",
  "cell": [[4.363, 0.000, 0.000], [0.000, 4.363, 0.000], [0.000, 0.000, 10.532]],
  "species": ["Li", "La", "La", "Zn", "Zn", "Zn", "Zn", "Ga", "Ga", "Ga"],
  "frac_coords": [[0.500, 0.500, 0.500], [0.500, 0.000, 0.243], [0.000, 0.500, 0.757], [0.500, 0.500, 0.000], [0.000, 0.000, 0.000], [0.500, 0.000, 0.627], [0.000, 0.500, 0.373], [0.000, 0.000, 0.500], [0.500, 0.000, 0.864], [0.000, 0.500, 0.136]]
}


3.
{
  "formula": "Tb2SmEr3Tm6",
  "functional": "PBE-GGA",
  "state": "relaxed",
  "dos_ef_per_ev_cell": 16.731,
  "total_energy_ev_per_atom": -4.5182,
  "ef_ev_per_atom": 0.02,
  "spacegroup": "C2/m",
  "cell": [[6.087, 0.003, 0.003], [-3.040, 5.274, 0.003], [-1.018, -1.763, 11.449]],
  "species": ["Tb", "Tb", "Sm", "Er", "Er", "Er", "Tm", "Tm", "Tm", "Tm", "Tm", "Tm"],
  "frac_coords": [[0.333, 0.667, 0.000], [0.667, 0.333, 0.000], [0.000, 0.000, 0.000], [0.167, 0.833, 0.500], [0.833, 0.167, 0.500], [0.500, 0.500, 0.500], [0.916, 0.582, 0.748], [0.751, 0.751, 0.252], [0.084, 0.418, 0.252], [0.582, 0.916, 0.748], [0.249, 0.249, 0.748], [0.418, 0.084, 0.252]]
}


4.
{
  "formula": "Rb2TlRuPb",
  "functional": "PBE-GGA",
  "state": "relaxed",
  "dos_ef_per_ev_cell": 7.447,
  "total_energy_ev_per_atom": -2.4910,
  "ef_ev_per_atom": 0.97,
  "spacegroup": "P4/mmm",
  "cell": [[6.088, 0.000, 0.000], [0.000, 5.085, 0.000], [0.000, 0.000, 6.088]],
  "species": ["Pb", "Ru", "Tl", "Rb", "Rb"],
  "frac_coords": [[0.000, 0.000, 0.000], [0.000, 0.500, 0.000], [0.500, 0.500, 0.500], [0.000, 0.000, 0.500], [0.500, 0.000, 0.000]]
}


5.
{
  "formula": "Ca2ReW",
  "functional": "PBE-GGA",
  "state": "relaxed",
  "polymorph_energy_mev_per_atom": 490,
  "dos_ef_per_ev_cell": 3.145,
  "total_energy_ev_per_atom": -6.4876,
  "ef_ev_per_atom": 0.86,
  "spacegroup": "C2/m",
  "cell": [[6.098, 0.031, 0.124], [-2.494, 5.294, -0.085], [1.110, 0.619, 2.465]],
  "species": ["Re", "Ca", "Ca", "W"],
  "frac_coords": [[0.000, 0.500, 0.500], [0.000, 0.000, 0.000], [0.500, 0.000, 0.500], [0.500, 0.500, 0.000]]
}


6.
{
  "formula": "ScZnRu",
  "functional": "PBE-GGA",
  "state": "relaxed",
  "dos_ef_per_ev_cell": 2.183,
  "total_energy_ev_per_atom": -5.8987,
  "ef_ev_per_atom": -0.27,
  "spacegroup": "P-6m2",
  "cell": [[4.298, 0.000, 0.000], [-2.149, 3.723, 0.000], [0.000, 0.000, 3.187]],
  "species": ["Ru", "Sc", "Zn"],
  "frac_coords": [[0.000, 0.000, 0.833], [0.667, 0.333, 0.333], [0.333, 0.667, 0.834]]
}


7.
{
  "formula": "AcHfHg",
  "functional": "PBE-GGA",
  "state": "relaxed",
  "dos_ef_per_ev_cell": 6.487,
  "total_energy_ev_per_atom": -4.5965,
  "ef_ev_per_atom": 0.19,
  "spacegroup": "Amm2",
  "cell": [[3.589, 0.000, 0.000], [-1.795, 3.111, 0.000], [0.000, 0.000, 15.642]],
  "species": ["Hg", "Hg", "Ac", "Ac", "Hf", "Hf"],
  "frac_coords": [[0.611, 0.221, 0.000], [0.278, 0.557, 0.500], [0.611, 0.222, 0.318], [0.611, 0.222, 0.682], [0.278, 0.556, 0.856], [0.278, 0.556, 0.144]]
}


8.
{
  "formula": "Co4Si",
  "functional": "PBE-GGA",
  "state": "relaxed",
  "polymorph_energy_mev_per_atom": 721,
  "dos_ef_per_ev_cell": 6.762,
  "total_energy_ev_per_atom": -6.2620,
  "spacegroup": "Im-3m",
  "raw_formation_energy_ev_per_atom": 0.51,
  "cell": [[-2.571, 2.571, 2.571], [2.571, -2.571, 2.571], [2.571, 2.571, -2.571]],
  "species": ["Co", "Co", "Co", "Co", "Si"],
  "frac_coords": [[0.000, 0.500, 0.000], [0.000, 0.000, 0.500], [0.500, 0.500, 0.500], [0.500, 0.000, 0.000], [0.000, 0.000, 0.000]]
}